PrInFeS3 | OQMD | PBE | relaxed; total moment = 7.99 Bohr magnetons per cell; final energy = -5.648 eV/atom
1.0
4.050 0.000 0.000
2.025 7.047 0.000
0.000 0.000 10.887
S In Pr Fe
6 2 2 2
direct
0.938 0.124 0.250
0.373 0.254 0.584
0.627 0.746 0.416
0.373 0.254 0.916
0.062 0.876 0.750
0.627 0.746 0.084
0.753 0.494 0.750
0.247 0.506 0.250
0.000 0.000 0.000
0.000 0.000 0.500
0.527 0.947 0.250
0.473 0.053 0.750